Below is an optimized crystal structure of PaHg2I8, with properties calculated at the GGA-PBE level.

abc: 8.5785 8.4670 11.4875
angles: 112.88 90.00 120.44
With the nearest neighbours (Å) after each atom.
Positions (direct):
I (0.9165, 0.3281, 0.1168)  1 Pa 3.02, 1 Hg 3.06
I (0.4116, 0.3281, 0.1168)  1 Pa 3.02, 1 Hg 3.06
I (0.0835, 0.6719, 0.8832)  1 Pa 3.02, 1 Hg 3.06
I (0.3578, 0.7155, 0.5527)  1 Hg 2.65
I (0.5884, 0.6719, 0.8832)  1 Pa 3.02, 1 Hg 3.06
I (0.9731, 0.9461, 0.2494)  1 Hg 2.94, 1 Pa 3.06
I (0.0269, 0.0539, 0.7506)  1 Hg 2.94, 1 Pa 3.06
I (0.6422, 0.2845, 0.4473)  1 Hg 2.65
Pa (0.0000, 0.0000, 0.0000)  6 I 3.02-3.06
Hg (0.8062, 0.6125, 0.6777)  2 I 2.65-2.94
Hg (0.1938, 0.3875, 0.3223)  2 I 2.65-2.94

Total DFT energy (no corrections) in eV/cell: -28.724
V in Å³/cell: 642.1
Space-group type: C2/m
Formation energy from raw total energies in eV/atom: -0.5658
Excess energy over the best structure of this formula in the dataset in eV per atom: 0.006